[1]
Compound: CaCd2Te
Source: Alexandria via LeMat-Bulk
Functional: PBE
Structure: optimized geometry

a = 6.106 Å, b = 6.209 Å, c = 6.393 Å
α = 90.00°, β = 90.00°, γ = 90.00°
Element x y z (fractional)
Ca: 0.000 0.000 0.000
Ca: 0.500 0.500 0.000
Cd: 0.000 0.255 0.500
Cd: 0.000 0.745 0.500
Cd: 0.500 0.245 0.500
Cd: 0.500 0.755 0.500
Te: 0.000 0.500 0.000
Te: 0.500 0.000 0.000

Output
For the total magnetization, the calculation gives 0.000 Bohr magnetons per cell. Its raw formation energy is -0.5425 eV per atom. As for the uncorrected energy: -2.286 eV/atom.

---

[2]
Compound: CaCd2Te
Source: Alexandria via LeMat-Bulk
Functional: PBE
Structure: optimized geometry

a = 4.256 Å, b = 4.128 Å, c = 7.080 Å
α = 90.00°, β = 107.45°, γ = 90.00°
Element x y z (fractional)
Ca: 0.000 0.000 0.000
Cd: 0.329 0.500 0.653
Cd: 0.767 0.000 0.527
Te: 0.575 0.500 0.151

Output
For the total magnetization, the calculation gives 0.000 Bohr magnetons per cell. Its raw formation energy is -0.5778 eV per atom. As for the uncorrected energy: -2.321 eV/atom.

---

[3]
Compound: CaCdTe2
Source: Alexandria via LeMat-Bulk
Functional: PBE
Structure: optimized geometry

a = 4.369 Å, b = 4.369 Å, c = 22.549 Å
α = 90.00°, β = 90.00°, γ = 120.00°
Element x y z (fractional)
Ca: 0.000 0.000 0.000
Ca: 0.333 0.667 0.667
Ca: 0.667 0.333 0.333
Cd: 0.000 0.000 0.833
Cd: 0.333 0.667 0.500
Cd: 0.667 0.333 0.166
Te: 0.000 0.000 0.245
Te: 0.000 0.000 0.423
Te: 0.333 0.667 0.090
Te: 0.333 0.667 0.911
Te: 0.667 0.333 0.578
Te: 0.667 0.333 0.757

Output
For the total magnetization, the calculation gives 0.000 Bohr magnetons per cell. Its raw formation energy is -0.8713 eV per atom. As for the uncorrected energy: -3.171 eV/atom.

---

[4]
Compound: CaCdTe2
Source: Alexandria via LeMat-Bulk
Functional: PBE
Structure: optimized geometry

a = 6.961 Å, b = 6.961 Å, c = 13.334 Å
α = 90.00°, β = 90.00°, γ = 90.00°
Element x y z (fractional)
Ca: 0.000 0.000 0.000
Ca: 0.000 0.500 0.250
Ca: 0.500 0.000 0.750
Ca: 0.500 0.500 0.500
Cd: 0.000 0.000 0.500
Cd: 0.000 0.500 0.750
Cd: 0.500 0.000 0.250
Cd: 0.500 0.500 0.000
Te: 0.226 0.250 0.625
Te: 0.250 0.726 0.875
Te: 0.250 0.774 0.375
Te: 0.274 0.250 0.125
Te: 0.726 0.750 0.125
Te: 0.750 0.226 0.375
Te: 0.750 0.274 0.875
Te: 0.774 0.750 0.625

Output
For the total magnetization, the calculation gives 0.000 Bohr magnetons per cell. Its raw formation energy is -0.9114 eV per atom. As for the uncorrected energy: -3.211 eV/atom.

---

[5]
Compound: CaCd4Te
Source: Alexandria via LeMat-Bulk
Functional: PBE
Structure: optimized geometry

a = 6.085 Å, b = 6.085 Å, c = 6.085 Å
α = 60.00°, β = 60.00°, γ = 60.00°
Element x y z (fractional)
Ca: 0.000 0.000 0.000
Cd: 0.124 0.625 0.625
Cd: 0.625 0.124 0.625
Cd: 0.625 0.625 0.124
Cd: 0.625 0.625 0.625
Te: 0.250 0.250 0.250

Output
For the total magnetization, the calculation gives 0.000 Bohr magnetons per cell. Its raw formation energy is -0.1603 eV per atom. As for the uncorrected energy: -1.628 eV/atom.

---

[6]
Compound: CaVCdTe2
Source: Alexandria via LeMat-Bulk
Functional: PBE
Structure: optimized geometry

a = 5.381 Å, b = 5.381 Å, c = 5.127 Å
α = 90.00°, β = 90.00°, γ = 90.00°
Element x y z (fractional)
Ca: 0.000 0.000 0.000
V: 0.500 0.500 0.500
Cd: 0.500 0.500 0.000
Te: 0.000 0.500 0.500
Te: 0.500 0.000 0.500

Output
For the total magnetization, the calculation gives 2.006 Bohr magnetons per cell. Its raw formation energy is -0.1897 eV per atom. As for the uncorrected energy: -3.853 eV/atom.

---

[7]
Compound: CaCdTe2W
Source: Alexandria via LeMat-Bulk
Functional: PBE
Structure: optimized geometry

a = 5.686 Å, b = 5.686 Å, c = 5.209 Å
α = 90.00°, β = 90.00°, γ = 90.00°
Element x y z (fractional)
Ca: 0.000 0.000 0.000
Cd: 0.500 0.500 0.500
Te: 0.000 0.500 0.500
Te: 0.500 0.000 0.500
W: 0.500 0.500 0.000

Output
For the total magnetization, the calculation gives 4.047 Bohr magnetons per cell. Its raw formation energy is 0.9355 eV per atom. As for the uncorrected energy: -3.495 eV/atom.

---

[8]
Compound: CaTh2Cd6
Source: Alexandria via LeMat-Bulk
Functional: PBE
Structure: optimized geometry

a = 8.817 Å, b = 8.817 Å, c = 3.441 Å
α = 90.00°, β = 90.00°, γ = 120.00°
Element x y z (fractional)
Ca: 0.000 0.000 0.000
Th: 0.333 0.667 0.000
Th: 0.667 0.333 0.000
Cd: 0.000 0.331 0.500
Cd: 0.000 0.669 0.500
Cd: 0.331 0.000 0.500
Cd: 0.331 0.331 0.500
Cd: 0.669 0.000 0.500
Cd: 0.669 0.669 0.500

Output
For the total magnetization, the calculation gives 0.000 Bohr magnetons per cell. As for the uncorrected energy: -2.709 eV/atom. Its formation energy from the elements is -228 meV/atom.

---

[9]
Compound: CaThCd2
Source: Alexandria via LeMat-Bulk
Functional: PBE
Structure: optimized geometry

a = 3.632 Å, b = 3.632 Å, c = 8.499 Å
α = 90.00°, β = 90.00°, γ = 90.00°
Element x y z (fractional)
Ca: 0.000 0.000 0.000
Th: 0.000 0.000 0.500
Cd: 0.500 0.500 0.243
Cd: 0.500 0.500 0.757

Output
For the total magnetization, the calculation gives 0.000 Bohr magnetons per cell. As for the uncorrected energy: -3.020 eV/atom. Its formation energy from the elements is -207 meV/atom.

---

[10]
Compound: CaThCd3
Source: Alexandria via LeMat-Bulk
Functional: PBE
Structure: optimized geometry

a = 15.143 Å, b = 15.143 Å, c = 5.081 Å
α = 90.00°, β = 90.00°, γ = 166.71°
Element x y z (fractional)
Ca: 0.212 0.788 0.750
Ca: 0.788 0.212 0.250
Th: 0.074 0.926 0.250
Th: 0.926 0.074 0.750
Cd: 0.325 0.675 0.750
Cd: 0.379 0.621 0.250
Cd: 0.476 0.524 0.250
Cd: 0.524 0.476 0.750
Cd: 0.621 0.379 0.750
Cd: 0.675 0.325 0.250

Output
For the total magnetization, the calculation gives 0.000 Bohr magnetons per cell. As for the uncorrected energy: -2.651 eV/atom. Its formation energy from the elements is -218 meV/atom.

---

[11]
Compound: CaThCd2
Source: Alexandria via LeMat-Bulk
Functional: PBE
Structure: optimized geometry

a = 3.550 Å, b = 3.550 Å, c = 32.017 Å
α = 90.00°, β = 90.00°, γ = 120.00°
Element x y z (fractional)
Ca: 0.000 0.000 0.000
Ca: 0.333 0.667 0.667
Ca: 0.667 0.333 0.333
Th: 0.000 0.000 0.500
Th: 0.333 0.667 0.167
Th: 0.667 0.333 0.833
Cd: 0.000 0.000 0.252
Cd: 0.000 0.000 0.748
Cd: 0.333 0.667 0.415
Cd: 0.333 0.667 0.919
Cd: 0.667 0.333 0.081
Cd: 0.667 0.333 0.585

Output
For the total magnetization, the calculation gives 0.000 Bohr magnetons per cell. As for the uncorrected energy: -2.867 eV/atom. Its formation energy from the elements is -54 meV/atom.

---

[12]
Compound: Ca2ThCd3
Source: Alexandria via LeMat-Bulk
Functional: PBE
Structure: optimized geometry

a = 3.773 Å, b = 3.773 Å, c = 11.897 Å
α = 90.00°, β = 90.00°, γ = 90.00°
Element x y z (fractional)
Ca: 0.000 0.000 0.163
Ca: 0.000 0.000 0.837
Th: 0.000 0.000 0.500
Cd: 0.500 0.500 0.000
Cd: 0.500 0.500 0.329
Cd: 0.500 0.500 0.671

Output
For the total magnetization, the calculation gives 0.000 Bohr magnetons per cell. As for the uncorrected energy: -2.625 eV/atom. Its formation energy from the elements is -264 meV/atom.

---

[13]
Compound: Ca2ThCd9
Source: Alexandria via LeMat-Bulk
Functional: PBE
Structure: optimized geometry

a = 10.202 Å, b = 10.202 Å, c = 10.202 Å
α = 34.14°, β = 34.14°, γ = 34.14°
Element x y z (fractional)
Ca: 0.141 0.141 0.141
Ca: 0.859 0.859 0.859
Th: 0.000 0.000 0.000
Cd: 0.077 0.588 0.588
Cd: 0.335 0.335 0.335
Cd: 0.412 0.412 0.923
Cd: 0.412 0.923 0.412
Cd: 0.500 0.500 0.500
Cd: 0.588 0.077 0.588
Cd: 0.588 0.588 0.077
Cd: 0.665 0.665 0.665
Cd: 0.923 0.412 0.412

Output
For the total magnetization, the calculation gives 0.000 Bohr magnetons per cell. As for the uncorrected energy: -1.822 eV/atom. Its formation energy from the elements is -184 meV/atom.

---

[14]
Compound: CaTh2Cd8
Source: Alexandria via LeMat-Bulk
Functional: PBE
Structure: optimized geometry

a = 9.150 Å, b = 9.150 Å, c = 5.351 Å
α = 106.98°, β = 106.98°, γ = 124.61°
Element x y z (fractional)
Ca: 0.000 0.000 0.000
Th: 0.306 0.694 0.500
Th: 0.694 0.306 0.500
Cd: 0.104 0.357 0.730
Cd: 0.196 0.804 0.000
Cd: 0.357 0.104 0.730
Cd: 0.497 0.497 0.249
Cd: 0.503 0.503 0.751
Cd: 0.643 0.896 0.270
Cd: 0.804 0.196 0.000
Cd: 0.896 0.643 0.270

Output
For the total magnetization, the calculation gives 0.000 Bohr magnetons per cell. As for the uncorrected energy: -2.347 eV/atom. Its formation energy from the elements is -151 meV/atom.